## TaIr3Ru (GGA-PBEsol)

Data for TaIr3Ru after structural relaxation.

Total DFT energy (no corrections): -42.46 eV per cell
Magnetization: 0.0 μB/cell

Cell: 4.563 4.563 4.563 Å, 90.00 90.00 90.00°
Space group Pm-3m (No. 221)
Asymmetric unit:
Ta 0.000 0.000 0.000 (multiplicity 1)
Ir 0.000 0.500 0.500 (multiplicity 3)
Ru 0.500 0.500 0.500 (multiplicity 1)

## TaIrRu2 (GGA-PBEsol)

Data for TaIrRu2 after structural relaxation.

E above lowest polymorph: 0 meV/atom
Total DFT energy (no corrections): -44.26 eV per cell
Magnetization: 0.0 μB/cell

Cell: 3.864 3.864 3.854 Å, 90.00 90.00 90.00°
Space group P4/mmm (No. 123)
Asymmetric unit:
Ta 0.000 0.000 0.000 (multiplicity 1)
Ir 0.500 0.500 0.000 (multiplicity 1)
Ru 0.000 0.500 0.500 (multiplicity 2)

## TaIr2Ru (GGA-PBEsol)

Data for TaIr2Ru after structural relaxation.

E above lowest polymorph: 453 meV/atom
Total DFT energy (no corrections): -128.43 eV per cell
Magnetization: 0.0 μB/cell

Cell: 2.7370 2.7370 27.0939 Å, 90.00 90.00 120.00°
Space group R-3m (No. 166, hexagonal axes)
Asymmetric unit:
Ta 0.0000 0.0000 0.0000 (multiplicity 3)
Ir 0.0000 0.0000 0.2473 (multiplicity 6)
Ru 0.0000 0.0000 0.5000 (multiplicity 3)

## TaIrRu2 (GGA-PBEsol)

Data for TaIrRu2 after structural relaxation.

E above lowest polymorph: 336 meV/atom
Total DFT energy (no corrections): -42.91 eV per cell
Magnetization: 0.0 μB/cell

Cell: 2.739 2.739 7.760 Å, 90.00 90.00 90.00°
Space group P4/mmm (No. 123)
Asymmetric unit:
Ta 0.000 0.000 0.000 (multiplicity 1)
Ir 0.000 0.000 0.500 (multiplicity 1)
Ru 0.500 0.500 0.262 (multiplicity 2)

## TaIr2Ru (GGA-PBEsol)

Data for TaIr2Ru after structural relaxation.

E above lowest polymorph: 85 meV/atom
Total DFT energy (no corrections): -88.57 eV per cell
Magnetization: 0.0 μB/cell

Cell: 3.867 3.867 7.787 Å, 90.00 90.00 90.00°
Space group I4/mmm (No. 139)
Asymmetric unit:
Ta 0.000 0.000 0.000 (multiplicity 2)
Ir 0.000 0.500 0.250 (multiplicity 4)
Ru 0.000 0.000 0.500 (multiplicity 2)

## TaIrRu2 (GGA-PBEsol)

Data for TaIrRu2 after structural relaxation.

E above lowest polymorph: 71 meV/atom
Total DFT energy (no corrections): -87.94 eV per cell
Magnetization: 0.0 μB/cell

Cell: 3.854 3.854 7.776 Å, 90.00 90.00 90.00°
Space group I-4m2 (No. 119)
Asymmetric unit:
Ta 0.000 0.000 0.000 (multiplicity 2)
Ir 0.000 0.500 0.750 (multiplicity 2)
Ru 0.000 0.000 0.500 (multiplicity 2)
Ru 0.000 0.500 0.250 (multiplicity 2)

## Tb2IrRu (GGA-PBEsol)

Data for Tb2IrRu after structural relaxation.

Total DFT energy (no corrections): -128.36 eV per cell
Magnetization: 0.0 μB/cell

Cell: 6.740 6.740 6.740 Å, 90.00 90.00 90.00°
Space group Fm-3m (No. 225)
Asymmetric unit:
Tb 0.250 0.250 0.250 (multiplicity 8)
Ir 0.000 0.000 0.000 (multiplicity 4)
Ru 0.000 0.000 0.500 (multiplicity 4)

## YTc2IrRu (GGA-PBEsol)

Data for YTc2IrRu after structural relaxation.

Total DFT energy (no corrections): -35.64 eV per cell
Magnetization: 1.4 μB/cell

Cell: 4.568 4.568 4.740 Å, 90.00 90.00 90.00°
Space group P4/mmm (No. 123)
Asymmetric unit:
Y 0.000 0.000 0.000 (multiplicity 1)
Tc 0.000 0.500 0.000 (multiplicity 2)
Ir 0.000 0.000 0.500 (multiplicity 1)
Ru 0.500 0.500 0.500 (multiplicity 1)

## TeIrRu2 (GGA-PBEsol)

Data for TeIrRu2 after structural relaxation.

Total DFT energy (no corrections): -32.09 eV per cell
Magnetization: 0.0 μB/cell

Cell: 2.886 3.703 5.792 Å, 90.00 90.00 90.00°
Space group Pmmm (No. 47)
Asymmetric unit:
Te 0.000 0.000 0.000 (multiplicity 1)
Ir 0.000 0.000 0.500 (multiplicity 1)
Ru 0.500 0.500 0.274 (multiplicity 2)

## TeIrRu2 (GGA-PBEsol)

Data for TeIrRu2 after structural relaxation.

Total DFT energy (no corrections): -64.38 eV per cell
Magnetization: 0.0 μB/cell

Cell: 8.806 2.904 4.957 Å, 90.00 102.13 90.00°
Space group C2/m (No. 12)
Asymmetric unit:
Te 0.000 0.000 0.000 (multiplicity 2)
Ir 0.000 0.500 0.500 (multiplicity 2)
Ru 0.250 0.000 0.724 (multiplicity 4)

## Te2IrRu (GGA-PBEsol)

Data for Te2IrRu after structural relaxation.

Total DFT energy (no corrections): -50.41 eV per cell
Magnetization: 0.0 μB/cell

Cell: 4.560 4.560 6.927 Å, 90.00 90.00 90.00°
Space group I4/mmm (No. 139)
Asymmetric unit:
Te 0.000 0.500 0.250 (multiplicity 4)
Ir 0.000 0.000 0.000 (multiplicity 2)
Ru 0.000 0.000 0.500 (multiplicity 2)

## Tl2TeIrRu (GGA-PBEsol)

Data for Tl2TeIrRu after structural relaxation.

Total DFT energy (no corrections): -22.69 eV per cell
Magnetization: 2.2 μB/cell

Cell: 5.116 5.116 5.115 Å, 90.00 90.00 90.00°
Space group P4/mmm (No. 123)
Asymmetric unit:
Tl 0.000 0.500 0.000 (multiplicity 2)
Te 0.000 0.000 0.500 (multiplicity 1)
Ir 0.000 0.000 0.000 (multiplicity 1)
Ru 0.500 0.500 0.500 (multiplicity 1)

## Tl2IrRu (GGA-PBEsol)

Data for Tl2IrRu after structural relaxation.

E above lowest polymorph: 0 meV/atom
Total DFT energy (no corrections): -44.75 eV per cell
Magnetization: 0.0 μB/cell

Cell: 6.045 8.991 3.013 Å, 90.00 118.45 90.00°
Space group C2/m (No. 12)
Asymmetric unit:
Tl 0.250 0.250 0.000 (multiplicity 4)
Ir 0.000 0.000 0.500 (multiplicity 2)
Ru 0.000 0.500 0.500 (multiplicity 2)

## TlIrRu2 (GGA-PBEsol)

Data for TlIrRu2 after structural relaxation.

Total DFT energy (no corrections): -60.78 eV per cell
Magnetization: 0.0 μB/cell

Cell: 5.569 7.857 2.798 Å, 90.00 90.00 90.00°
Space group Cmmm (No. 65)
Asymmetric unit:
Tl 0.000 0.000 0.000 (multiplicity 2)
Ir 0.000 0.500 0.000 (multiplicity 2)
Ru 0.250 0.250 0.500 (multiplicity 4)

## TlIr2Ru (GGA-PBEsol)

Data for TlIr2Ru after structural relaxation.

E above lowest polymorph: 0 meV/atom
Total DFT energy (no corrections): -30.70 eV per cell
Magnetization: 0.0 μB/cell

Cell: 2.798 3.765 5.966 Å, 90.00 90.00 90.00°
Space group Pmm2 (No. 25)
Asymmetric unit:
Tl 0.000 0.000 0.000 (multiplicity 1)
Ir 0.000 0.000 0.510 (multiplicity 1)
Ir 0.500 0.500 0.278 (multiplicity 1)
Ru 0.500 0.500 0.717 (multiplicity 1)

## Tl2IrRu (GGA-PBEsol)

Data for Tl2IrRu after structural relaxation.

E above lowest polymorph: 8 meV/atom
Total DFT energy (no corrections): -44.68 eV per cell
Magnetization: 0.0 μB/cell

Cell: 3.091 5.180 8.993 Å, 90.00 90.00 90.00°
Space group Cmmm (No. 65)
Asymmetric unit:
Tl 0.000 0.000 0.247 (multiplicity 4)
Ir 0.000 0.500 0.500 (multiplicity 2)
Ru 0.000 0.500 0.000 (multiplicity 2)

## TlIr2Ru (GGA-PBEsol)

Data for TlIr2Ru after structural relaxation.

E above lowest polymorph: 88 meV/atom
Total DFT energy (no corrections): -60.71 eV per cell
Magnetization: 0.0 μB/cell

Cell: 5.553 7.871 2.830 Å, 90.00 90.00 90.00°
Space group Cmmm (No. 65)
Asymmetric unit:
Tl 0.000 0.000 0.000 (multiplicity 2)
Ir 0.250 0.250 0.500 (multiplicity 4)
Ru 0.000 0.500 0.000 (multiplicity 2)

## Tm2IrRu (GGA-PBEsol)

Data for Tm2IrRu after structural relaxation.

Total DFT energy (no corrections): -129.92 eV per cell
Magnetization: 0.0 μB/cell

Cell: 6.623 6.623 6.623 Å, 90.00 90.00 90.00°
Space group Fm-3m (No. 225)
Asymmetric unit:
Tm 0.250 0.250 0.250 (multiplicity 8)
Ir 0.000 0.000 0.000 (multiplicity 4)
Ru 0.000 0.000 0.500 (multiplicity 4)

## V2IrRu (GGA-PBEsol)

Data for V2IrRu after structural relaxation.

Total DFT energy (no corrections): -163.14 eV per cell
Magnetization: 0.0 μB/cell

Cell: 4.042 6.732 7.830 Å, 90.00 90.00 90.00°
Space group Amm2 (No. 38)
Asymmetric unit:
V 0.000 0.000 0.000 (multiplicity 2)
V 0.000 0.000 0.437 (multiplicity 2)
V 0.500 0.000 0.194 (multiplicity 2)
V 0.500 0.000 0.757 (multiplicity 2)
Ir 0.000 0.221 0.719 (multiplicity 4)
Ru 0.500 0.223 0.471 (multiplicity 4)

## IrRuW2 (GGA-PBEsol)

Data for IrRuW2 after structural relaxation.

E above lowest polymorph: 14 meV/atom
Total DFT energy (no corrections): -48.09 eV per cell
Magnetization: 0.0 μB/cell

Cell: 2.770 4.436 4.763 Å, 90.00 90.00 90.00°
Space group Pmm2 (No. 25)
Asymmetric unit:
Ir 0.000 0.000 0.000 (multiplicity 1)
Ru 0.000 0.500 0.639 (multiplicity 1)
W 0.500 0.000 0.501 (multiplicity 1)
W 0.500 0.500 0.147 (multiplicity 1)

## IrRuW2 (GGA-PBEsol)

Data for IrRuW2 after structural relaxation.

E above lowest polymorph: 12 meV/atom
Total DFT energy (no corrections): -48.10 eV per cell
Magnetization: 0.0 μB/cell

Cell: 2.749 3.866 5.504 Å, 90.00 90.00 90.00°
Space group Pmmm (No. 47)
Asymmetric unit:
Ir 0.000 0.000 0.000 (multiplicity 1)
Ru 0.000 0.000 0.500 (multiplicity 1)
W 0.500 0.500 0.253 (multiplicity 2)

## IrRuW2 (GGA-PBEsol)

Data for IrRuW2 after structural relaxation.

E above lowest polymorph: 398 meV/atom
Total DFT energy (no corrections): -186.21 eV per cell
Magnetization: 0.1 μB/cell

Cell: 6.194 6.194 6.194 Å, 90.00 90.00 90.00°
Space group F-43m (No. 216)
Asymmetric unit:
Ir 0.000 0.000 0.000 (multiplicity 4)
Ru 0.250 0.250 0.250 (multiplicity 4)
W 0.000 0.000 0.500 (multiplicity 4)
W 0.250 0.250 0.750 (multiplicity 4)

## IrRuW2 (GGA-PBEsol)

Data for IrRuW2 after structural relaxation.

E above lowest polymorph: 20 meV/atom
Total DFT energy (no corrections): -48.07 eV per cell
Magnetization: 0.0 μB/cell

Cell: 2.753 2.753 7.720 Å, 90.00 90.00 90.00°
Space group P4/mmm (No. 123)
Asymmetric unit:
Ir 0.000 0.000 0.000 (multiplicity 1)
Ru 0.000 0.000 0.500 (multiplicity 1)
W 0.500 0.500 0.253 (multiplicity 2)

## IrRuW2 (GGA-PBEsol)

Data for IrRuW2 after structural relaxation.

E above lowest polymorph: 0 meV/atom
Total DFT energy (no corrections): -96.29 eV per cell
Magnetization: 0.0 μB/cell

Cell: 3.891 3.891 7.726 Å, 90.00 90.00 90.00°
Space group I4/mmm (No. 139)
Asymmetric unit:
Ir 0.000 0.000 0.000 (multiplicity 2)
Ru 0.000 0.000 0.500 (multiplicity 2)
W 0.000 0.500 0.250 (multiplicity 4)

## IrRuW2 (GGA-PBEsol)

Data for IrRuW2 after structural relaxation.

E above lowest polymorph: 10 meV/atom
Total DFT energy (no corrections): -96.21 eV per cell
Magnetization: 0.0 μB/cell

Cell: 5.516 7.713 2.750 Å, 90.00 90.00 90.00°
Space group Cmmm (No. 65)
Asymmetric unit:
Ir 0.000 0.000 0.000 (multiplicity 2)
Ru 0.000 0.500 0.000 (multiplicity 2)
W 0.250 0.250 0.500 (multiplicity 4)

## Y4IrRu (GGA-PBEsol)

Data for Y4IrRu after structural relaxation.

Total DFT energy (no corrections): -168.15 eV per cell
Magnetization: 0.0 μB/cell

Cell: 8.058 8.058 8.058 Å, 90.00 90.00 90.00°
Space group F-43m (No. 216)
Asymmetric unit:
Y 0.125 0.125 0.125 (multiplicity 16)
Ir 0.000 0.000 0.500 (multiplicity 4)
Ru 0.250 0.250 0.750 (multiplicity 4)

## Y2IrRu (GGA-PBEsol)

Data for Y2IrRu after structural relaxation.

Total DFT energy (no corrections): -35.69 eV per cell
Magnetization: 0.0 μB/cell

Cell: 3.369 3.369 6.725 Å, 90.00 90.00 90.00°
Space group P4/mmm (No. 123)
Asymmetric unit:
Y 0.000 0.000 0.247 (multiplicity 2)
Ir 0.500 0.500 0.500 (multiplicity 1)
Ru 0.500 0.500 0.000 (multiplicity 1)

## YIr2Ru (GGA-PBEsol)

Data for YIr2Ru after structural relaxation.

E above lowest polymorph: 17 meV/atom
Total DFT energy (no corrections): -37.07 eV per cell
Magnetization: 0.0 μB/cell

Cell: 4.764 2.853 4.862 Å, 90.00 107.70 90.00°
Space group P2/m (No. 10)
Asymmetric unit:
Y 0.000 0.000 0.000 (multiplicity 1)
Ir 0.000 0.500 0.500 (multiplicity 1)
Ir 0.500 0.000 0.500 (multiplicity 1)
Ru 0.500 0.500 0.000 (multiplicity 1)

## YIr3Ru (GGA-PBEsol)

Data for YIr3Ru after structural relaxation.

Total DFT energy (no corrections): -41.71 eV per cell
Magnetization: 0.0 μB/cell

Cell: 4.662 4.662 4.662 Å, 90.00 90.00 90.00°
Space group Pm-3m (No. 221)
Asymmetric unit:
Y 0.000 0.000 0.000 (multiplicity 1)
Ir 0.000 0.500 0.500 (multiplicity 3)
Ru 0.500 0.500 0.500 (multiplicity 1)

## Y2IrRu (GGA-PBEsol)

Data for Y2IrRu after structural relaxation.

Total DFT energy (no corrections): -66.91 eV per cell
Magnetization: 0.0 μB/cell

Cell: 4.436 4.614 8.361 Å, 90.00 90.00 90.00°
Space group Cmm2 (No. 35)
Asymmetric unit:
Y 0.000 0.000 0.000 (multiplicity 2)
Y 0.000 0.500 0.381 (multiplicity 2)
Ir 0.000 0.000 0.613 (multiplicity 2)
Ru 0.000 0.500 0.767 (multiplicity 2)